# 1
6
Lattice="-1.540 2.883 0.526 -3.216 0.721 -2.954 -5.194 -4.001 6.246" Properties=species:S:1:pos:R:3 comment="BeBiAu | Alexandria via LeMat-Bulk | GGA-PBE | optimized geometry" formation_enthalpy_0k_mev_per_atom=-11 dos_at_fermi_per_ev_fu=0.8 spacegroup="P1, No. 1" dft_energy_ev_per_atom=-3.64 pbc="T T T"
Be -8.800 -0.389 2.966
Be -6.463 -1.147 3.571
Bi -5.857 1.368 1.851
Bi -2.195 1.618 1.311
Au -6.519 -3.291 4.733
Au -4.079 -1.902 4.226

***

# 2
5
Lattice="-1.685 3.445 -2.283 -2.724 0.928 3.411 3.107 2.682 1.752" Properties=species:S:1:pos:R:3 comment="Be3BiAu | Alexandria via LeMat-Bulk | GGA-PBE | optimized geometry" polymorph_energy_mev_per_atom=0.0 formation_enthalpy_0k_mev_per_atom=513 dos_at_fermi_per_ev_fu=1.9 spacegroup="Pm-3m, No. 221" dft_energy_ev_per_atom=-3.15 pbc="T T T"
Be -0.843 1.722 -1.141
Be 1.554 1.341 0.876
Be -1.362 0.464 1.706
Au 0.000 0.000 0.000
Bi -0.651 3.527 1.440

***

# 3
28
Lattice="7.013 0.021 -2.918 -4.101 6.394 -0.059 0.527 0.273 10.928" Properties=species:S:1:pos:R:3 comment="Be3Bi2Au9 | Alexandria via LeMat-Bulk | GGA-PBE | optimized geometry" formation_enthalpy_0k_mev_per_atom=-32 dos_at_fermi_per_ev_fu=2.4 spacegroup="C2/c, No. 15" dft_energy_ev_per_atom=-3.49 pbc="T T T"
Bi 5.005 3.952 5.238
Bi -1.565 2.736 2.713
Bi 1.716 1.805 7.218
Bi 1.724 4.883 0.732
Au 0.062 5.337 3.342
Au 3.721 0.618 1.079
Au 6.082 1.159 5.572
Au 1.083 4.439 8.867
Au -2.642 5.529 2.379
Au 3.378 1.352 4.609
Au -1.373 4.449 -0.004
Au 3.805 3.166 2.476
Au 4.813 2.239 7.955
Au -0.365 3.523 5.475
Au 2.865 5.626 3.523
Au 1.203 2.071 1.746
Au 0.575 1.062 4.428
Au 2.237 4.618 6.204
Au 2.357 2.249 -0.916
Au 6.144 0.175 -1.827
Au -2.704 6.513 9.778
Au -0.281 6.071 6.871
Be 3.507 0.010 -1.459
Be -0.208 2.233 -0.528
Be 3.648 4.455 8.479
Be 1.720 3.344 3.975
Be 5.501 1.268 2.976
Be -2.061 5.420 4.974

***

# 4
8
Lattice="5.559 0.000 0.000 0.000 5.559 0.000 2.780 2.780 7.258" Properties=species:S:1:pos:R:3 comment="BeBi2Au | Alexandria via LeMat-Bulk | GGA-PBE | optimized geometry" formation_enthalpy_0k_mev_per_atom=352 dos_at_fermi_per_ev_fu=2.1 spacegroup="I-42d, No. 122" dft_energy_ev_per_atom=-3.34 pbc="T T T"
Bi 6.949 6.695 5.443
Bi 4.169 4.423 5.443
Bi 1.644 4.169 1.814
Bi 3.915 1.390 1.814
Au 0.000 0.000 0.000
Au 5.559 2.780 3.629
Be 2.780 5.559 3.629
Be 2.780 2.780 0.000

***

# 5
12
Lattice="9.019 0.000 0.000 0.000 4.227 0.000 0.000 0.000 6.667" Properties=species:S:1:pos:R:3 comment="BeBiAu | Alexandria via LeMat-Bulk | GGA-PBE | optimized geometry" formation_enthalpy_0k_mev_per_atom=117 dos_at_fermi_per_ev_fu=1.0 spacegroup="Pnma, No. 62" dft_energy_ev_per_atom=-3.51 pbc="T T T"
Bi 3.123 1.057 3.371
Bi 7.633 1.057 6.630
Bi 1.386 3.171 0.038
Bi 5.896 3.171 3.296
Be 8.465 3.171 1.857
Be 0.555 1.057 4.810
Be 5.064 1.057 5.191
Be 3.955 3.171 1.476
Au 0.858 3.171 3.796
Au 8.161 1.057 2.871
Au 3.651 1.057 0.462
Au 5.368 3.171 6.205

***

# 6
6
Lattice="3.284 -0.015 -0.042 1.661 4.116 -0.006 0.161 -0.267 9.107" Properties=species:S:1:pos:R:3 comment="BeBiAu | Alexandria via LeMat-Bulk | GGA-PBE | optimized geometry" formation_enthalpy_0k_mev_per_atom=-23 dos_at_fermi_per_ev_fu=0.9 spacegroup="P-1, No. 2" dft_energy_ev_per_atom=-3.65 pbc="T T T"
Bi 1.654 2.024 4.316
Bi 3.218 4.062 1.436
Be 3.345 3.759 7.787
Be 1.690 2.059 7.073
Au 3.309 0.170 6.132
Au 3.348 1.517 8.692

***

# 7
6
Lattice="1.164 1.238 3.964 -4.007 -1.421 -0.726 2.318 -7.365 1.620" Properties=species:S:1:pos:R:3 comment="BeBiAu | Alexandria via LeMat-Bulk | GGA-PBE | optimized geometry" formation_enthalpy_0k_mev_per_atom=516 dos_at_fermi_per_ev_fu=1.0 spacegroup="P6_3/mmc, No. 194" dft_energy_ev_per_atom=-3.11 pbc="T T T"
Au 0.000 0.000 0.000
Au 1.159 -3.683 0.810
Bi -0.545 -6.058 2.052
Bi 0.020 -1.489 2.806
Be 1.179 -5.172 3.616
Be -1.704 -2.376 1.242

***

# 8
6
Lattice="3.320 -1.917 0.000 0.000 3.833 0.000 0.000 0.000 10.864" Properties=species:S:1:pos:R:3 comment="BeBiAu | Alexandria via LeMat-Bulk | GGA-PBE | optimized geometry" formation_enthalpy_0k_mev_per_atom=355 dos_at_fermi_per_ev_fu=1.6 spacegroup="P6_3/mmc, No. 194" dft_energy_ev_per_atom=-3.27 pbc="T T T"
Au 1.107 1.917 2.716
Au 2.213 0.000 8.148
Be 0.000 0.000 2.716
Be 0.000 0.000 8.148
Bi 0.000 0.000 5.432
Bi 0.000 0.000 0.000

***

# 9
6
Lattice="-2.030 0.037 3.498 3.487 -0.301 2.027 0.518 7.489 0.220" Properties=species:S:1:pos:R:3 comment="BeBiAu4 | Alexandria via LeMat-Bulk | GGA-PBE | optimized geometry" polymorph_energy_mev_per_atom=24.3 formation_enthalpy_0k_mev_per_atom=-24 dos_at_fermi_per_ev_fu=2.3 spacegroup="P4/mmm, No. 123" dft_energy_ev_per_atom=-3.48 pbc="T T T"
Au -0.657 5.200 1.902
Au 2.102 5.031 1.166
Au -0.855 2.327 1.817
Au 1.903 2.158 1.081
Be 0.988 3.613 2.873
Bi 0.000 0.000 0.000

***

# 10
12
Lattice="-8.492 -1.255 -7.168 1.774 -3.351 -1.514 -2.575 -2.977 3.572" Properties=species:S:1:pos:R:3 comment="BeBiAu | Alexandria via LeMat-Bulk | GGA-PBE | optimized geometry" formation_enthalpy_0k_mev_per_atom=78 dos_at_fermi_per_ev_fu=1.2 spacegroup="Pnma, No. 62" dft_energy_ev_per_atom=-3.55 pbc="T T T"
Be -0.447 -4.378 0.908
Be -8.846 -3.205 -6.019
Be -3.914 -1.785 -3.386
Be -5.379 -5.798 -1.725
Au -9.965 -4.504 -4.455
Au -5.360 -3.462 -1.369
Au 0.672 -3.079 -0.656
Au -3.933 -4.121 -3.742
Bi -2.415 -2.125 -0.878
Bi -6.233 -2.258 -5.055
Bi -6.878 -5.459 -4.233
Bi -3.060 -5.325 -0.056

***

# 11
10
Lattice="-5.226 0.811 3.560 -2.260 -5.601 -2.041 2.494 -2.552 4.242" Properties=species:S:1:pos:R:3 comment="BeBi2Au2 | Alexandria via LeMat-Bulk | GGA-PBE | optimized geometry" formation_enthalpy_0k_mev_per_atom=139 dos_at_fermi_per_ev_fu=2.2 spacegroup="P4/mbm, No. 127" dft_energy_ev_per_atom=-3.47 pbc="T T T"
Be 0.000 0.000 0.000
Be -3.743 -2.395 0.760
Bi -1.371 -5.028 1.403
Bi -3.621 -2.313 4.358
Bi -0.776 -2.145 2.787
Bi -4.215 -5.196 2.973
Au -3.854 -0.389 2.032
Au -1.622 -1.737 -0.092
Au -3.631 -4.401 -0.513
Au -5.864 -3.052 1.611

***

# 12
14
Lattice="-2.174 4.899 -3.511 -5.403 0.070 3.443 2.671 4.129 4.107" Properties=species:S:1:pos:R:3 comment="Be3BiAu3 | Alexandria via LeMat-Bulk | GGA-PBE | optimized geometry" formation_enthalpy_0k_mev_per_atom=205 dos_at_fermi_per_ev_fu=1.9 spacegroup="Pm-3n, No. 223" dft_energy_ev_per_atom=-3.35 pbc="T T T"
Au -0.016 2.082 2.914
Au -0.419 3.482 -0.729
Au -2.717 2.117 4.636
Au -4.332 3.709 -0.912
Au -3.245 1.260 0.844
Au 0.916 5.546 1.325
Be -5.140 2.502 0.826
Be 0.792 3.289 1.176
Be -2.438 2.467 -0.895
Be -0.295 5.739 -0.580
Be -0.699 3.132 4.802
Be -2.034 1.067 2.748
Bi -2.453 4.549 2.019
Bi 0.000 0.000 0.000

***

# 13
10
Lattice="-0.039 -4.327 -2.426 6.512 -1.166 2.002 1.350 -3.203 5.689" Properties=species:S:1:pos:R:3 comment="BeBiAu3 | Alexandria via LeMat-Bulk | GGA-PBE | optimized geometry" polymorph_energy_mev_per_atom=0.0 formation_enthalpy_0k_mev_per_atom=-26 dos_at_fermi_per_ev_fu=1.0 spacegroup="P1, No. 1" dft_energy_ev_per_atom=-3.51 pbc="T T T"
Au 7.366 -4.543 5.950
Au 0.977 -3.838 -1.728
Au 6.255 -6.267 2.531
Au 5.187 -3.666 1.535
Au 3.678 -4.327 -0.901
Au 3.002 -5.684 1.530
Be 5.244 -1.559 2.643
Be 7.315 -6.651 4.840
Bi 4.280 -4.036 4.321
Bi 1.760 -3.004 1.164

***

# 14
6
Lattice="4.467 0.021 -0.024 1.984 4.003 -0.024 -2.883 -1.798 7.221" Properties=species:S:1:pos:R:3 comment="BeBiAu | Alexandria via LeMat-Bulk | GGA-PBE | optimized geometry" formation_enthalpy_0k_mev_per_atom=0 dos_at_fermi_per_ev_fu=0.9 spacegroup="C2/m, No. 12" dft_energy_ev_per_atom=-3.63 pbc="T T T"
Be 1.795 0.819 5.876
Be -1.463 -1.139 5.900
Bi 2.670 0.020 1.052
Bi 0.543 1.459 3.504
Au -0.465 0.830 6.838
Au 0.796 -1.149 4.940

***

# 15
5
Lattice="4.602 0.000 0.000 0.000 4.602 0.000 0.000 0.000 4.602" Properties=species:S:1:pos:R:3 comment="BeBiAu3 | Alexandria via LeMat-Bulk | GGA-PBE | optimized geometry" polymorph_energy_mev_per_atom=91.4 formation_enthalpy_0k_mev_per_atom=66 dos_at_fermi_per_ev_fu=1.5 spacegroup="Pm-3m, No. 221" dft_energy_ev_per_atom=-3.42 pbc="T T T"
Au 0.000 0.000 2.301
Au 0.000 2.301 0.000
Au 2.301 0.000 0.000
Be 0.000 0.000 0.000
Bi 2.301 2.301 2.301

***

# 16
10
Lattice="8.195 0.000 0.000 0.000 8.195 0.000 0.000 0.000 3.300" Properties=species:S:1:pos:R:3 comment="Be2Bi2Au | Alexandria via LeMat-Bulk | GGA-PBE | optimized geometry" polymorph_energy_mev_per_atom=187.1 formation_enthalpy_0k_mev_per_atom=588 dos_at_fermi_per_ev_fu=2.0 spacegroup="P4/mbm, No. 127" dft_energy_ev_per_atom=-3.11 pbc="T T T"
Bi 2.312 6.410 0.000
Bi 5.882 1.785 0.000
Bi 6.410 5.882 0.000
Bi 1.785 2.312 0.000
Au 4.097 4.097 0.000
Au 0.000 0.000 0.000
Be 4.845 7.447 1.650
Be 0.748 4.845 1.650
Be 7.447 3.350 1.650
Be 3.350 0.748 1.650

***

# 17
5
Lattice="3.474 0.000 0.000 0.000 3.474 0.000 1.737 1.737 8.550" Properties=species:S:1:pos:R:3 comment="Be2Bi2Au | Alexandria via LeMat-Bulk | GGA-PBE | optimized geometry" polymorph_energy_mev_per_atom=0.0 formation_enthalpy_0k_mev_per_atom=401 dos_at_fermi_per_ev_fu=2.1 spacegroup="I4/mmm, No. 139" dft_energy_ev_per_atom=-3.30 pbc="T T T"
Be 1.737 3.474 4.275
Be 3.474 1.737 4.275
Au 0.000 0.000 0.000
Bi 1.737 1.737 2.138
Bi 3.474 3.474 6.411

***

# 18
6
Lattice="3.414 -0.002 0.077 1.018 3.255 0.116 -2.244 0.699 10.977" Properties=species:S:1:pos:R:3 comment="BeBiAu | Alexandria via LeMat-Bulk | GGA-PBE | optimized geometry" formation_enthalpy_0k_mev_per_atom=-7 dos_at_fermi_per_ev_fu=1.0 spacegroup="P-1, No. 2" dft_energy_ev_per_atom=-3.64 pbc="T T T"
Be 2.132 1.715 4.969
Be 0.345 2.888 6.234
Au 2.039 1.611 7.299
Au 0.439 2.991 3.904
Bi 1.321 1.152 1.646
Bi 1.158 3.448 9.558

***

# 19
8
Lattice="-3.626 3.355 1.787 0.402 -2.118 4.791 2.783 4.623 4.690" Properties=species:S:1:pos:R:3 comment="Be2BiAu | Alexandria via LeMat-Bulk | GGA-PBE | optimized geometry" formation_enthalpy_0k_mev_per_atom=404 dos_at_fermi_per_ev_fu=0.6 spacegroup="I-42d, No. 122" dft_energy_ev_per_atom=-3.25 pbc="T T T"
Bi 0.000 0.000 0.000
Bi -1.228 4.298 4.883
Au -1.612 0.619 3.289
Au 0.786 1.562 6.385
Be 0.897 3.833 6.206
Be -0.753 4.648 9.051
Be 0.325 0.407 4.473
Be -1.352 2.832 2.805

***

# 20
6
Lattice="3.460 0.005 -0.043 0.034 3.441 0.019 0.616 -2.950 10.301" Properties=species:S:1:pos:R:3 comment="BeBiAu | Alexandria via LeMat-Bulk | GGA-PBE | optimized geometry" formation_enthalpy_0k_mev_per_atom=-61 dos_at_fermi_per_ev_fu=0.6 spacegroup="P1, No. 1" dft_energy_ev_per_atom=-3.69 pbc="T T T"
Bi 1.974 -0.548 4.795
Bi 3.001 0.483 1.706
Be 1.907 -2.361 8.404
Be 3.679 -0.663 8.401
Au 3.650 1.064 6.805
Au 1.973 -0.646 10.018

***

| no. | magnetization (μB/f.u.) |
| --- | --- |
| 1 | 0.00 |
| 2 | 0.00 |
| 3 | 0.00 |
| 4 | 0.00 |
| 5 | 0.00 |
| 6 | 0.00 |
| 7 | 0.00 |
| 8 | 0.00 |
| 9 | 0.00 |
| 10 | 0.00 |
| 11 | 0.00 |
| 12 | 0.00 |
| 13 | 0.00 |
| 14 | 0.00 |
| 15 | 0.00 |
| 16 | 0.00 |
| 17 | 0.00 |
| 18 | 0.00 |
| 19 | 0.00 |
| 20 | 0.00 |